Model one:
Sc2InSb2, optimized geometry, DFT GGA-PBE; space group = P4/mbm, No. 127
1.0
7.950 0.000 0.000
0.000 7.950 0.000
0.000 0.000 3.897
Sc Sb In
4 4 2
Cartesian
2.839 6.814 0.000
6.814 5.111 0.000
5.111 1.136 0.000
1.136 2.839 0.000
1.275 5.250 1.949
5.250 6.675 1.949
6.675 2.700 1.949
2.700 1.275 1.949
0.000 0.000 0.000
3.975 3.975 0.000

=====

Model two:
Sc2InSb2, optimized geometry, DFT GGA-PBE; space group = P4/mbm, No. 127
1.0
8.143 0.000 0.000
0.000 8.143 0.000
0.000 0.000 3.789
Sc Sb In
4 4 2
Cartesian
1.203 5.274 1.894
5.274 6.940 1.894
6.940 2.868 1.894
2.868 1.203 1.894
2.860 6.931 0.000
6.931 5.283 0.000
5.283 1.212 0.000
1.212 2.860 0.000
0.000 0.000 0.000
4.071 4.071 0.000

=====

The structure with the least stability is model two.

=====

Model one:
ScIn3Sb, optimized geometry, DFT GGA-PBE; space group = Pm-3m, No. 221
1.0
-5.474 1.063 -0.078
-0.001 -0.415 -5.562
-1.066 -5.459 0.408
Sc Sb In
1 1 3
Cartesian
0.000 0.000 0.000
-3.271 -2.405 -2.616
-0.001 -0.208 -2.781
-0.533 -2.730 0.204
-2.737 0.532 -0.039

=====

Model two:
ScIn3Sb, optimized geometry, DFT GGA-PBE; space group = Pm-3m, No. 221
1.0
-4.119 3.397 -1.687
-3.317 -2.018 4.035
1.840 3.967 3.497
Sc Sb In
1 1 3
Cartesian
-2.798 2.673 2.922
0.000 0.000 0.000
-1.658 -1.009 2.017
0.920 1.984 1.748
-2.060 1.698 -0.844

=====

The structure with the least stability is model two.

=====

Model one:
InSb2Se2, optimized geometry, DFT GGA-PBE; space group = I4/mmm, No. 139
1.0
4.296 0.000 0.000
0.000 4.296 0.000
2.148 2.148 7.714
Sb Se In
2 2 1
Cartesian
4.296 2.148 3.857
2.148 4.296 3.857
2.148 2.148 1.310
4.296 4.296 6.404
0.000 0.000 0.000

=====

Model two:
InSb2Se2, optimized geometry, DFT GGA-PBE; space group = P4/mbm, No. 127
1.0
-1.690 6.662 -5.364
-2.397 -5.618 -6.222
-3.626 0.119 1.290
Sb Se In
4 4 2
Cartesian
-2.410 -2.499 -6.544
-3.033 1.352 -8.649
-1.678 3.544 -5.042
-1.055 -0.308 -2.936
-3.602 -2.599 -4.139
-4.953 -0.454 -8.135
-4.112 3.762 -6.156
-2.760 1.617 -2.161
0.000 0.000 0.000
-2.044 0.522 -5.793

=====

Model three:
InSb2Se2, optimized geometry, DFT GGA-PBE; space group = P4/mbm, No. 127
1.0
-1.306 -5.729 -6.576
7.610 2.500 -3.689
1.836 -2.681 1.971
Sb Se In
4 4 2
Cartesian
6.024 -0.757 -2.976
6.036 -3.403 -6.587
2.117 -5.153 -5.317
2.105 -2.507 -1.707
6.051 0.100 -5.502
3.781 -3.296 -8.006
0.253 -3.328 -4.763
2.524 0.067 -2.259
0.000 0.000 0.000
3.152 -1.614 -5.132

=====

Model four:
InSb2Se2, optimized geometry, DFT GGA-PBE; space group = I4/mmm, No. 139
1.0
5.677 0.000 0.000
0.000 5.677 0.000
2.839 2.839 4.682
Sb Se In
2 2 1
Cartesian
2.839 2.839 1.622
5.677 5.677 3.060
5.677 2.839 2.341
2.839 5.677 2.341
0.000 0.000 0.000

=====

The structure with the least stability is model one.